(1)
PBE Tb8Y2Mg, relaxed; space-group type = C2/m, No. 12; energy relative to the elements = 148.8 meV per atom
1.0
8.105 -3.309 0.000
8.105 3.309 0.000
-1.290 0.000 6.552
Tb Y Mg
8 2 1
Direct
0.095 0.095 0.914
0.159 0.678 0.615
0.253 0.253 0.679
0.322 0.841 0.385
0.678 0.159 0.615
0.747 0.747 0.321
0.841 0.322 0.385
0.905 0.905 0.086
0.313 0.313 0.200
0.687 0.687 0.800
0.500 0.500 0.000

(2)
PBE TbYMg3, relaxed; space-group type = C2/c, No. 15; energy relative to the elements = -44.5 meV per atom
1.0
10.138 -5.250 0.000
10.138 5.250 0.000
-1.334 0.000 5.028
Tb Y Mg
4 4 12
Direct
0.077 0.321 0.449
0.321 0.077 0.949
0.679 0.923 0.051
0.923 0.679 0.551
0.127 0.873 0.750
0.372 0.628 0.250
0.628 0.372 0.750
0.873 0.127 0.250
0.025 0.778 0.152
0.163 0.450 0.055
0.222 0.975 0.348
0.274 0.505 0.639
0.450 0.163 0.555
0.495 0.726 0.861
0.505 0.274 0.139
0.550 0.837 0.445
0.726 0.495 0.361
0.778 0.025 0.652
0.837 0.550 0.945
0.975 0.222 0.848

(3)
PBE TbYMg2, relaxed; space-group type = R3m, No. 160; energy relative to the elements = 52.1 meV per atom
1.0
3.457 0.000 0.000
-1.729 2.994 0.000
0.000 0.000 33.127
Tb Y Mg
3 3 6
Direct
0.000 0.000 0.000
0.333 0.667 0.667
0.667 0.333 0.333
0.000 0.000 0.831
0.333 0.667 0.497
0.667 0.333 0.164
0.000 0.000 0.248
0.000 0.000 0.415
0.333 0.667 0.082
0.333 0.667 0.915
0.667 0.333 0.582
0.667 0.333 0.749

(4)
PBE Tb8YMg2, relaxed; space-group type = C2/m, No. 12; energy relative to the elements = 138.6 meV per atom
1.0
4.388 -7.768 0.000
4.388 7.768 0.000
-2.536 0.000 5.081
Tb Y Mg
8 1 2
Direct
0.097 0.322 0.633
0.212 0.788 0.000
0.322 0.097 0.633
0.409 0.409 0.204
0.591 0.591 0.796
0.678 0.903 0.367
0.788 0.212 0.000
0.903 0.678 0.367
0.000 0.000 0.000
0.307 0.693 0.500
0.693 0.307 0.500

(5)
PBE Tb8Y4Mg, relaxed; space-group type = C2/m, No. 12; energy relative to the elements = 22.9 meV per atom
1.0
5.610 -2.506 0.000
5.610 2.506 0.000
-1.172 0.000 14.542
Tb Y Mg
8 4 1
Direct
0.035 0.035 0.382
0.198 0.198 0.924
0.270 0.270 0.695
0.418 0.418 0.227
0.582 0.582 0.773
0.730 0.730 0.305
0.802 0.802 0.076
0.965 0.965 0.618
0.111 0.111 0.152
0.346 0.346 0.460
0.654 0.654 0.540
0.889 0.889 0.848
0.500 0.500 0.000

(6)
PBE Tb3Y6Mg, relaxed; space-group type = P2_1/m, No. 11; energy relative to the elements = 19.6 meV per atom
1.0
11.152 0.000 0.000
0.000 5.032 0.000
-0.083 0.000 11.221
Tb Y Mg
6 12 2
Direct
0.051 0.250 0.400
0.152 0.750 0.204
0.252 0.250 0.004
0.748 0.750 0.996
0.848 0.250 0.796
0.949 0.750 0.600
0.051 0.750 0.898
0.153 0.250 0.700
0.255 0.750 0.501
0.350 0.750 0.803
0.353 0.250 0.306
0.451 0.750 0.102
0.549 0.250 0.898
0.647 0.750 0.694
0.650 0.250 0.197
0.745 0.250 0.499
0.847 0.750 0.300
0.949 0.250 0.102
0.451 0.250 0.600
0.549 0.750 0.400

(7)
PBE Tb4Y9Mg11, relaxed; space-group type = Cmmm, No. 65; energy relative to the elements = -45.7 meV per atom
1.0
8.238 -11.298 0.000
8.238 11.298 0.000
0.000 0.000 3.620
Tb Y Mg
4 9 11
Direct
0.083 0.250 0.000
0.250 0.083 0.000
0.750 0.917 0.000
0.917 0.750 0.000
0.000 0.000 0.000
0.120 0.654 0.000
0.292 0.482 0.000
0.346 0.880 0.000
0.482 0.292 0.000
0.518 0.708 0.000
0.654 0.120 0.000
0.708 0.518 0.000
0.880 0.346 0.000
0.089 0.447 0.500
0.133 0.867 0.500
0.289 0.289 0.500
0.319 0.681 0.500
0.447 0.089 0.500
0.500 0.500 0.500
0.553 0.911 0.500
0.681 0.319 0.500
0.711 0.711 0.500
0.867 0.133 0.500
0.911 0.553 0.500

(8)
PBE Tb12Y3Mg, relaxed; space-group type = P4/mmm, No. 123; energy relative to the elements = 20.0 meV per atom
1.0
5.007 0.000 0.000
0.000 5.007 0.000
0.000 0.000 20.124
Tb Y Mg
12 3 1
Direct
0.000 0.000 0.000
0.000 0.000 0.246
0.000 0.000 0.500
0.000 0.000 0.754
0.000 0.500 0.123
0.000 0.500 0.374
0.000 0.500 0.626
0.000 0.500 0.877
0.500 0.000 0.123
0.500 0.000 0.374
0.500 0.000 0.626
0.500 0.000 0.877
0.500 0.500 0.248
0.500 0.500 0.500
0.500 0.500 0.752
0.500 0.500 0.000

(9)
PBE Tb6Y2Mg, relaxed; space-group type = Pbam, No. 55; energy relative to the elements = 44.4 meV per atom
1.0
6.487 0.000 0.000
0.000 15.783 0.000
0.000 0.000 5.551
Tb Y Mg
12 4 2
Direct
0.080 0.094 0.000
0.090 0.306 0.000
0.248 0.943 0.500
0.252 0.443 0.500
0.410 0.806 0.000
0.420 0.594 0.000
0.580 0.406 0.000
0.590 0.194 0.000
0.748 0.557 0.500
0.752 0.057 0.500
0.910 0.694 0.000
0.920 0.906 0.000
0.227 0.694 0.500
0.273 0.194 0.500
0.727 0.806 0.500
0.773 0.306 0.500
0.000 0.500 0.000
0.500 0.000 0.000

(10)
PBE TbYMg2, relaxed; space-group type = P4/mmm, No. 123; energy relative to the elements = -98.9 meV per atom
1.0
5.393 0.000 0.000
0.000 5.393 0.000
0.000 0.000 3.776
Tb Y Mg
1 1 2
Direct
0.000 0.000 0.000
0.500 0.500 0.000
0.000 0.500 0.500
0.500 0.000 0.500

(11)
PBE Tb5Y6Mg2, relaxed; space-group type = Pbam, No. 55; energy relative to the elements = 129.4 meV per atom
1.0
10.351 0.000 0.000
0.000 22.569 0.000
0.000 0.000 3.557
Tb Y Mg
10 12 4
Direct
0.000 0.000 0.000
0.077 0.252 0.000
0.167 0.505 0.000
0.333 0.005 0.000
0.423 0.752 0.000
0.500 0.500 0.000
0.577 0.248 0.000
0.667 0.995 0.000
0.833 0.495 0.000
0.923 0.748 0.000
0.017 0.387 0.500
0.146 0.118 0.500
0.169 0.866 0.000
0.331 0.366 0.000
0.354 0.618 0.500
0.483 0.887 0.500
0.517 0.113 0.500
0.646 0.382 0.500
0.669 0.634 0.000
0.831 0.134 0.000
0.854 0.882 0.500
0.983 0.613 0.500
0.172 0.739 0.500
0.328 0.239 0.500
0.672 0.761 0.500
0.828 0.261 0.500

(12)
PBE TbY3Mg, relaxed; space-group type = C2/m, No. 12; energy relative to the elements = -24.7 meV per atom
1.0
6.443 -1.843 0.000
6.443 1.843 0.000
-0.695 0.000 12.884
Tb Y Mg
2 6 2
Direct
0.235 0.235 0.260
0.765 0.765 0.740
0.035 0.035 0.688
0.147 0.147 0.941
0.365 0.365 0.523
0.635 0.635 0.477
0.853 0.853 0.059
0.965 0.965 0.312
0.438 0.438 0.874
0.562 0.562 0.126

no.,VASP energy (eV/atom),DOS(E_F) (states/eV/f.u.),V (Å³/atom)
1,-4.539,16.72,31.94
2,-3.220,5.60,26.76
3,-3.519,4.93,28.58
4,-4.106,13.78,31.49
5,-4.938,19.25,31.46
6,-5.407,14.86,31.49
7,-3.972,28.51,28.07
8,-4.764,22.26,31.53
9,-4.656,12.48,31.57
10,-3.670,5.23,27.46
11,-4.880,24.36,31.96
12,-5.148,7.42,30.60